# 1
PrUHg | PBE | optimized geometry

Cell and atoms, written as POSCAR:
```
PrUHg
1.0
0.000 3.663 3.663
3.663 0.000 3.663
3.663 3.663 0.000
Pr U Hg
1 1 1
Direct
0.000 0.000 0.000
0.500 0.500 0.500
0.250 0.250 0.250
```

Calculated values
Crystal system: cubic
E_tot: -4.851 eV per atom
Magnetic moment: 1.266 μB/atom

# 2
NdHoH2I4 | PBE | optimized geometry

Cell and atoms, written as POSCAR:
```
NdHoH2I4
1.0
4.060 0.000 0.000
-2.030 3.516 0.000
0.000 0.000 16.654
Nd Ho H I
1 1 2 4
Direct
0.000 0.000 0.000
0.000 0.000 0.500
0.333 0.667 0.000
0.667 0.333 0.500
0.333 0.667 0.375
0.333 0.667 0.625
0.667 0.333 0.132
0.667 0.333 0.868
```

Calculated values
Crystal system: hexagonal
E_tot: -3.980 eV per atom
Magnetic moment: 0.000 μB/atom

# 3
PrSiO3 | PBE | optimized geometry

Cell and atoms, written as POSCAR:
```
PrSiO3
1.0
3.579 0.000 0.000
0.000 3.579 0.000
0.000 0.000 4.549
Pr Si O
1 1 3
Direct
0.000 0.000 0.000
0.500 0.500 0.512
0.000 0.500 0.589
0.500 0.000 0.589
0.500 0.500 0.142
```

Calculated values
Crystal system: tetragonal
E_tot: -7.491 eV per atom
Magnetic moment: 0.001 μB/atom

# 4
PmAl | PBE | optimized geometry

Cell and atoms, written as POSCAR:
```
PmAl
1.0
5.070 0.000 0.000
-2.535 4.391 0.000
0.000 0.000 5.085
Pm Al
2 2
Direct
0.333 0.667 0.250
0.667 0.333 0.750
0.000 0.000 0.000
0.000 0.000 0.500
```

Calculated values
Crystal system: hexagonal
E_tot: -4.419 eV per atom
Magnetic moment: 0.000 μB/atom

# 5
AlFeMo4N2 | PBE | optimized geometry

Cell and atoms, written as POSCAR:
```
AlFeMo4N2
1.0
2.836 0.000 0.000
-1.418 2.456 0.000
0.000 0.000 14.449
Al Fe Mo N
1 1 4 2
Direct
0.000 0.000 0.000
0.333 0.667 0.500
0.000 0.000 0.350
0.000 0.000 0.650
0.333 0.667 0.155
0.333 0.667 0.845
0.667 0.333 0.252
0.667 0.333 0.748
```

Calculated values
Crystal system: hexagonal
E_tot: -9.058 eV per atom
Magnetic moment: 0.235 μB/atom

# 6
HoOsPd | PBE | optimized geometry

Cell and atoms, written as POSCAR:
```
HoOsPd
1.0
0.000 3.158 3.158
3.158 0.000 3.158
3.158 3.158 0.000
Ho Os Pd
1 1 1
Direct
0.000 0.000 0.000
0.500 0.500 0.500
0.250 0.250 0.250
```

Calculated values
Crystal system: cubic
E_tot: -6.668 eV per atom
Magnetic moment: 0.492 μB/atom